1.
Computed, not measured: a relaxed BaNd2C2N6 crystal at the PBE-GGA level of DFT.

a = 6.432 Å, b = 6.001 Å, c = 6.401 Å
α = 110.11°, β = 90.08°, γ = 57.48°
Last column: magnetic moment on the atom in μB.
Sites, in units of the cell vectors:
C  0.828  0.345  0.262  -0.01
C  0.172  0.655  0.738  -0.01
N  0.083  0.833  0.629  0.16
N  0.043  0.558  0.797  0.19
N  0.957  0.442  0.203  0.19
N  0.398  0.557  0.796  0.19
N  0.602  0.443  0.204  0.19
N  0.917  0.167  0.371  0.16
Nd  0.828  0.344  0.813  0.01
Nd  0.172  0.656  0.187  0.01
Ba  0.500  0.000  0.500  0.00

Computed properties:
- V: 190 Å³/cell
- Final energy: -7.766 eV/atom
- Formation energy from raw total energies: -0.507 eV/atom
- Total magnetization: 1.52 μB/f.u.



2.
Computed, not measured: a relaxed Ba2ZnSi3 crystal at the PBE-GGA level of DFT.

a = 6.627 Å, b = 6.627 Å, c = 8.912 Å
α = 116.40°, β = 116.40°, γ = 78.71°
Sites, in units of the cell vectors:
Si  0.835  0.835  0.670
Si  0.166  0.670  0.835
Si  0.670  0.166  0.835
Si  0.330  0.834  0.165
Si  0.165  0.165  0.330
Si  0.834  0.330  0.165
Zn  0.666  0.666  0.332
Zn  0.334  0.334  0.668
Ba  0.758  0.758  0.000
Ba  0.250  0.750  0.500
Ba  0.242  0.242  0.000
Ba  0.750  0.250  0.500

Computed properties:
- V: 314 Å³/cell
- Final energy: -3.977 eV/atom
- Formation energy from raw total energies: -0.412 eV/atom
- Total magnetization: 0.00 μB/f.u.



3.
Computed, not measured: a relaxed Na2VBr4 crystal at the PBE-GGA level of DFT.

a = 5.239 Å, b = 5.239 Å, c = 8.396 Å
α = 71.82°, β = 71.82°, γ = 90.00°
Last column: magnetic moment on the atom in μB.
Sites, in units of the cell vectors:
Na  0.637  0.637  0.726  0.00
Na  0.363  0.363  0.274  0.00
V  0.000  0.000  0.000  2.59
Br  0.827  0.827  0.347  0.00
Br  0.000  0.500  0.000  0.00
Br  0.173  0.173  0.653  0.00
Br  0.500  0.000  0.000  0.00

Computed properties:
- V: 207 Å³/cell
- Final energy: -3.727 eV/atom
- Formation energy from raw total energies: -1.091 eV/atom
- Total magnetization: 3.00 μB/f.u.



4.
Computed, not measured: a relaxed BaMnRh2 crystal at the PBE-GGA level of DFT.

a = 5.939 Å, b = 5.939 Å, c = 5.939 Å
α = 149.14°, β = 129.38°, γ = 60.46°
Last column: magnetic moment on the atom in μB.
Sites, in units of the cell vectors:
Rh  0.782  0.282  0.500  0.10
Rh  0.005  0.005  0.000  0.19
Mn  0.211  0.711  0.500  3.99
Ba  0.502  0.502  0.000  -0.01

Computed properties:
- V: 82 Å³/cell
- Final energy: -6.058 eV/atom
- Total magnetization: 4.51 μB/f.u.



5.
Computed, not measured: a relaxed Na2P7Pd12 crystal at the PBE-GGA level of DFT.

a = 3.941 Å, b = 9.834 Å, c = 9.834 Å
α = 120.00°, β = 90.00°, γ = 90.00°
Sites, in units of the cell vectors:
P  0.753  0.293  0.412
P  0.247  0.707  0.588
P  0.247  0.881  0.293
P  0.500  0.000  0.000
P  0.753  0.119  0.707
P  0.753  0.588  0.881
P  0.247  0.412  0.119
Pd  0.750  0.061  0.440
Pd  0.245  0.747  0.852
Pd  0.755  0.253  0.148
Pd  0.755  0.852  0.105
Pd  0.750  0.560  0.620
Pd  0.250  0.939  0.560
Pd  0.755  0.895  0.747
Pd  0.250  0.440  0.380
Pd  0.250  0.620  0.061
Pd  0.245  0.148  0.895
Pd  0.750  0.380  0.939
Pd  0.245  0.105  0.253
Na  0.252  0.333  0.667
Na  0.748  0.667  0.333

Computed properties:
- V: 330 Å³/cell
- Final energy: -5.379 eV/atom
- Total magnetization: 0.00 μB/f.u.



6.
Computed, not measured: a relaxed TiTcIrW crystal at the PBE-GGA level of DFT.

a = 4.416 Å, b = 4.416 Å, c = 4.416 Å
α = 60.00°, β = 60.00°, γ = 60.00°
Sites, in units of the cell vectors:
Tc  0.000  0.000  0.000
Ti  0.250  0.250  0.250
Ir  0.500  0.500  0.500
W  0.750  0.750  0.750

Computed properties:
- V: 61 Å³/cell
- Final energy: -10.306 eV/atom
- Total magnetization: 0.00 μB/f.u.



7.
Computed, not measured: a relaxed Lu2MnSe4 crystal at the PBE-GGA level of DFT.

a = 8.091 Å, b = 8.091 Å, c = 8.091 Å
α = 60.00°, β = 60.00°, γ = 60.00°
Last column: magnetic moment on the atom in μB.
Sites, in units of the cell vectors:
Se  0.379  0.379  0.379  0.03
Se  0.871  0.871  0.871  0.03
Se  0.863  0.379  0.379  0.03
Se  0.379  0.863  0.379  0.03
Se  0.387  0.871  0.871  0.03
Se  0.379  0.379  0.863  0.03
Se  0.871  0.387  0.871  0.03
Se  0.871  0.871  0.387  0.03
Lu  0.125  0.625  0.625  0.07
Lu  0.625  0.125  0.625  0.07
Lu  0.625  0.625  0.625  0.07
Lu  0.625  0.625  0.125  0.07
Mn  0.000  0.000  0.000  4.27
Mn  0.250  0.250  0.250  4.27

Computed properties:
- V: 374 Å³/cell
- Final energy: -6.037 eV/atom
- Formation energy from raw total energies: -1.444 eV/atom
- Total magnetization: 5.00 μB/f.u.



8.
Computed, not measured: a relaxed SnAsP2O8 crystal at the PBE-GGA level of DFT.

a = 4.843 Å, b = 4.843 Å, c = 7.498 Å
α = 88.67°, β = 88.67°, γ = 66.23°
Sites, in units of the cell vectors:
O  0.284  0.284  0.602
O  0.285  0.768  0.201
O  0.232  0.715  0.799
O  0.761  0.761  0.050
O  0.715  0.232  0.799
O  0.716  0.716  0.398
O  0.768  0.285  0.201
O  0.239  0.239  0.950
Sn  0.000  0.000  0.500
P  0.641  0.641  0.215
P  0.359  0.359  0.785
As  0.000  0.000  0.000

Computed properties:
- V: 161 Å³/cell
- Final energy: -6.610 eV/atom
- Formation energy from raw total energies: -1.682 eV/atom
- Total magnetization: 0.00 μB/f.u.



Repeat the third record exactly.
Computed, not measured: a relaxed Na2VBr4 crystal at the PBE-GGA level of DFT.

a = 5.239 Å, b = 5.239 Å, c = 8.396 Å
α = 71.82°, β = 71.82°, γ = 90.00°
Last column: magnetic moment on the atom in μB.
Sites, in units of the cell vectors:
Na  0.637  0.637  0.726  0.00
Na  0.363  0.363  0.274  0.00
V  0.000  0.000  0.000  2.59
Br  0.827  0.827  0.347  0.00
Br  0.000  0.500  0.000  0.00
Br  0.173  0.173  0.653  0.00
Br  0.500  0.000  0.000  0.00

Computed properties:
- V: 207 Å³/cell
- Final energy: -3.727 eV/atom
- Formation energy from raw total energies: -1.091 eV/atom
- Total magnetization: 3.00 μB/f.u.



Question: Among the records above, which one has the lowest V?
Answer: TiTcIrW